[1]
{
  "formula": "TaBeTl",
  "functional": "PBE",
  "state": "relaxed",
  "lattice": [[4.023, 0.000, 0.000], [-2.012, 3.484, 0.000], [0.000, 0.000, 3.641]],
  "species": ["Ta", "Be", "Tl"],
  "frac_coords": [[0.000, 0.000, 0.000], [0.667, 0.333, 0.656], [0.333, 0.667, 0.479]],
  "magmom_total_mub_per_fu": 0.0,
  "relative_energy_mev_per_atom": 544,
  "dft_energy_ev_per_atom": -5.31,
  "ef_mev_per_atom": 674,
  "n_ef_per_ev_fu": 0.4
}



[2]
{
  "formula": "TaBeTl2",
  "functional": "PBE",
  "state": "relaxed",
  "lattice": [[0.000, 3.467, 3.467], [3.467, 0.000, 3.467], [3.467, 3.467, 0.000]],
  "species": ["Ta", "Be", "Tl", "Tl"],
  "frac_coords": [[0.000, 0.000, 0.000], [0.750, 0.750, 0.750], [0.250, 0.250, 0.250], [0.500, 0.500, 0.500]],
  "magmom_total_mub_per_fu": 1.0,
  "relative_energy_mev_per_atom": 703,
  "dft_energy_ev_per_atom": -3.90,
  "ef_mev_per_atom": 1175,
  "n_ef_per_ev_fu": 5.0
}



[3]
{
  "formula": "TaBeTl",
  "functional": "PBE",
  "state": "relaxed",
  "lattice": [[2.940, 0.000, 0.000], [-1.460, 4.629, 0.000], [-0.100, -2.160, 9.098]],
  "species": ["Ta", "Ta", "Be", "Be", "Tl", "Tl"],
  "frac_coords": [[0.000, 0.000, 0.000], [0.245, 0.497, 0.870], [0.412, 0.813, 0.178], [0.740, 0.474, 0.093], [0.183, 0.355, 0.360], [0.468, 0.951, 0.665]],
  "magmom_total_mub_per_fu": 0.0,
  "relative_energy_mev_per_atom": 354,
  "dft_energy_ev_per_atom": -5.50,
  "ef_mev_per_atom": 484,
  "n_ef_per_ev_fu": 1.4
}



[4]
{
  "formula": "TaBeTl",
  "functional": "PBE",
  "state": "relaxed",
  "lattice": [[0.000, 2.978, 2.978], [2.978, 0.000, 2.978], [2.978, 2.978, 0.000]],
  "species": ["Ta", "Be", "Tl"],
  "frac_coords": [[0.000, 0.000, 0.000], [0.750, 0.750, 0.750], [0.500, 0.500, 0.500]],
  "magmom_total_mub_per_fu": 0.0,
  "relative_energy_mev_per_atom": 655,
  "dft_energy_ev_per_atom": -5.20,
  "ef_mev_per_atom": 785,
  "n_ef_per_ev_fu": 1.6
}



[5]
{
  "formula": "TaBeTl",
  "functional": "PBE",
  "state": "relaxed",
  "lattice": [[3.377, 0.000, 0.000], [-0.001, 3.378, 0.000], [-1.531, -1.647, 10.444]],
  "species": ["Ta", "Ta", "Be", "Be", "Tl", "Tl"],
  "frac_coords": [[0.218, 0.215, 0.428], [0.782, 0.785, 0.572], [0.326, 0.332, 0.670], [0.674, 0.668, 0.330], [0.083, 0.077, 0.146], [0.917, 0.923, 0.854]],
  "magmom_total_mub_per_fu": 0.0,
  "relative_energy_mev_per_atom": 136,
  "dft_energy_ev_per_atom": -5.72,
  "ef_mev_per_atom": 266,
  "n_ef_per_ev_fu": 1.5
}



[6]
{
  "formula": "TaBeTl",
  "functional": "PBE",
  "state": "relaxed",
  "lattice": [[2.985, 0.000, 0.000], [-0.001, 5.661, 0.000], [-0.007, -1.723, 6.345]],
  "species": ["Ta", "Ta", "Be", "Be", "Tl", "Tl"],
  "frac_coords": [[0.000, 0.000, 0.000], [0.003, 0.527, 0.067], [0.502, 0.288, 0.285], [0.503, 0.899, 0.279], [0.003, 0.672, 0.556], [0.502, 0.212, 0.669]],
  "magmom_total_mub_per_fu": 0.0,
  "relative_energy_mev_per_atom": 350,
  "dft_energy_ev_per_atom": -5.50,
  "ef_mev_per_atom": 480,
  "n_ef_per_ev_fu": 1.5
}



[7]
{
  "formula": "TaBeTl",
  "functional": "PBE",
  "state": "relaxed",
  "lattice": [[4.276, -1.779, 0.000], [4.276, 1.779, 0.000], [-2.593, 0.000, 7.351]],
  "species": ["Ta", "Ta", "Be", "Be", "Tl", "Tl"],
  "frac_coords": [[0.000, 0.000, 0.000], [0.517, 0.517, 0.745], [0.257, 0.257, 0.862], [0.796, 0.796, 0.709], [0.139, 0.139, 0.474], [0.353, 0.353, 0.237]],
  "magmom_total_mub_per_fu": 0.0,
  "relative_energy_mev_per_atom": 280,
  "dft_energy_ev_per_atom": -5.57,
  "ef_mev_per_atom": 410,
  "n_ef_per_ev_fu": 1.5
}



[8]
{
  "formula": "TaBeTl",
  "functional": "PBE",
  "state": "relaxed",
  "lattice": [[4.551, -1.877, 0.000], [4.551, 1.877, 0.000], [-0.248, 0.000, 6.237]],
  "species": ["Ta", "Ta", "Be", "Be", "Tl", "Tl"],
  "frac_coords": [[0.152, 0.152, 0.104], [0.848, 0.848, 0.896], [0.442, 0.442, 0.129], [0.558, 0.558, 0.871], [0.143, 0.143, 0.615], [0.857, 0.857, 0.385]],
  "magmom_total_mub_per_fu": 0.0,
  "relative_energy_mev_per_atom": 230,
  "dft_energy_ev_per_atom": -5.62,
  "ef_mev_per_atom": 360,
  "n_ef_per_ev_fu": 1.9
}